No. 1
DFT (PBE) results for a relaxed structure of CuBiAu2.

Lattice parameters (Å, degrees): 4.310 4.310 5.767 68.06 68.06 60.00
Fractional coordinates of all 4 atoms:
1 Cu 0.500 0.500 0.500
2 Au 0.222 0.222 0.335
3 Au 0.778 0.778 0.665
4 Bi 0.000 0.000 0.000

Calculated values
Calculated total energy   -3.582 eV per atom
Formation energy   0.05 eV/atom
Density of states at the Fermi level   2.0 states/eV per cell
Size of the total moment   0.000 Bohr magnetons per cell

No. 2
DFT (PBE) results for a relaxed structure of ErCuBiAu.

Lattice parameters (Å, degrees): 4.986 4.986 4.986 60.00 60.00 60.00
Fractional coordinates of all 4 atoms:
1 Cu 0.750 0.750 0.750
2 Au 0.250 0.250 0.250
3 Er 0.500 0.500 0.500
4 Bi 0.000 0.000 0.000

Calculated values
Calculated total energy   -4.285 eV per atom
Formation energy   -0.33 eV/atom
Density of states at the Fermi level   1.4 states/eV per cell
Size of the total moment   0.000 Bohr magnetons per cell

No. 3
DFT (PBE) results for a relaxed structure of EuCuBiAu.

Lattice parameters (Å, degrees): 5.083 5.083 5.083 60.00 60.00 60.00
Each line ends with the local moment (μB).
Fractional coordinates of all 4 atoms:
1 Au 0.750 0.750 0.750  -0.01
2 Bi 0.500 0.500 0.500  -0.03
3 Eu 0.000 0.000 0.000  6.77
4 Cu 0.250 0.250 0.250  -0.01

Calculated values
Calculated total energy   -5.720 eV per atom
Formation energy   -0.34 eV/atom
Density of states at the Fermi level   8.7 states/eV per cell
Size of the total moment   6.895 Bohr magnetons per cell

No. 4
DFT (PBE) results for a relaxed structure of CuBiAuF2.

Lattice parameters (Å, degrees): 4.284 5.291 4.284 90.00 90.00 90.00
Fractional coordinates of all 5 atoms:
1 F 0.500 0.000 0.000
2 F 0.000 0.000 0.500
3 Au 0.000 0.000 0.000
4 Bi 0.500 0.500 0.500
5 Cu 0.000 0.500 0.000

Calculated values
Formation energy without anion corrections   -0.2755 eV per atom
Calculated total energy   -3.275 eV per atom
Density of states at the Fermi level   3.4 states/eV per cell
Size of the total moment   0.000 Bohr magnetons per cell

No. 5
DFT (PBE) results for a relaxed structure of GdCuBiAu.

Lattice parameters (Å, degrees): 5.026 5.026 5.026 60.00 60.00 60.00
Each line ends with the local moment (μB).
Fractional coordinates of all 4 atoms:
1 Gd 0.500 0.500 0.500  6.95
2 Cu 0.250 0.250 0.250  -0.01
3 Bi 0.000 0.000 0.000  -0.04
4 Au 0.750 0.750 0.750  -0.01

Calculated values
Calculated total energy   -6.710 eV per atom
Formation energy   -0.38 eV/atom
Density of states at the Fermi level   1.7 states/eV per cell
Size of the total moment   7.007 Bohr magnetons per cell

No. 6
DFT (PBE) results for a relaxed structure of CuBi2HAu.

Lattice parameters (Å, degrees): 5.474 5.474 3.303 90.00 90.00 90.00
Fractional coordinates of all 5 atoms:
1 Bi 0.000 0.500 0.000
2 Bi 0.500 0.000 0.000
3 Cu 0.000 0.000 0.000
4 H 0.000 0.000 0.500
5 Au 0.500 0.500 0.500

Calculated values
Calculated total energy   -3.528 eV per atom
Density of states at the Fermi level   2.1 states/eV per cell
Size of the total moment   0.000 Bohr magnetons per cell

No. 7
DFT (PBE) results for a relaxed structure of LiCuBiAu.

Lattice parameters (Å, degrees): 4.676 4.676 4.676 60.00 60.00 60.00
Fractional coordinates of all 4 atoms:
1 Au 0.250 0.250 0.250
2 Cu 0.500 0.500 0.500
3 Li 0.000 0.000 0.000
4 Bi 0.750 0.750 0.750

Calculated values
Calculated total energy   -3.431 eV per atom
Formation energy   -0.14 eV/atom
Density of states at the Fermi level   1.6 states/eV per cell
Size of the total moment   0.000 Bohr magnetons per cell

No. 8
DFT (PBE) results for a relaxed structure of MnCuBi2Au.

Lattice parameters (Å, degrees): 5.187 4.838 5.187 90.00 90.00 90.00
Each line ends with the local moment (μB).
Fractional coordinates of all 5 atoms:
1 Bi 0.000 0.000 0.500  -0.10
2 Bi 0.500 0.000 0.000  -0.15
3 Au 0.000 0.500 0.000  0.02
4 Cu 0.000 0.000 0.000  -0.01
5 Mn 0.500 0.500 0.500  4.29

Calculated values
Calculated total energy   -4.249 eV per atom
Formation energy   0.61 eV/atom
Density of states at the Fermi level   3.0 states/eV per cell
Size of the total moment   4.384 Bohr magnetons per cell

No. 9
DFT (PBE) results for a relaxed structure of NaCuBiAu2.

Lattice parameters (Å, degrees): 5.606 4.968 5.606 90.00 90.00 90.00
Fractional coordinates of all 5 atoms:
1 Na 0.500 0.500 0.500
2 Bi 0.000 0.000 0.000
3 Cu 0.000 0.500 0.000
4 Au 0.500 0.000 0.000
5 Au 0.000 0.000 0.500

Calculated values
Calculated total energy   -2.891 eV per atom
Formation energy   0.28 eV/atom
Density of states at the Fermi level   1.4 states/eV per cell
Size of the total moment   0.000 Bohr magnetons per cell

No. 10
DFT (PBE) results for a relaxed structure of NdCuBiAu.

Lattice parameters (Å, degrees): 5.087 5.087 5.087 60.00 60.00 60.00
Fractional coordinates of all 4 atoms:
1 Bi 0.500 0.500 0.500
2 Nd 0.000 0.000 0.000
3 Au 0.750 0.750 0.750
4 Cu 0.250 0.250 0.250

Calculated values
Calculated total energy   -4.383 eV per atom
Formation energy   -0.38 eV/atom
Density of states at the Fermi level   1.7 states/eV per cell
Size of the total moment   0.000 Bohr magnetons per cell

No. 11
DFT (PBE) results for a relaxed structure of NpCuBiAu.

Lattice parameters (Å, degrees): 5.015 5.015 5.015 60.00 60.00 60.00
Each line ends with the local moment (μB).
Fractional coordinates of all 4 atoms:
1 Au 0.750 0.750 0.750  -0.01
2 Bi 0.000 0.000 0.000  -0.03
3 Cu 0.250 0.250 0.250  0.00
4 Np 0.500 0.500 0.500  3.97

Calculated values
Calculated total energy   -5.970 eV per atom
Formation energy   0.08 eV/atom
Density of states at the Fermi level   9.8 states/eV per cell
Size of the total moment   4.193 Bohr magnetons per cell

No. 12
DFT (PBE) results for a relaxed structure of PaCuBiAu.

Lattice parameters (Å, degrees): 4.994 4.994 4.994 60.00 60.00 60.00
Fractional coordinates of all 4 atoms:
1 Pa 0.000 0.000 0.000
2 Bi 0.500 0.500 0.500
3 Au 0.750 0.750 0.750
4 Cu 0.250 0.250 0.250

Calculated values
Calculated total energy   -5.261 eV per atom
Formation energy   -0.07 eV/atom
Density of states at the Fermi level   3.9 states/eV per cell
Size of the total moment   0.000 Bohr magnetons per cell

No. 13
DFT (PBE) results for a relaxed structure of PrCuBiAu.

Lattice parameters (Å, degrees): 5.109 5.109 5.109 60.00 60.00 60.00
Fractional coordinates of all 4 atoms:
1 Cu 0.250 0.250 0.250
2 Pr 0.000 0.000 0.000
3 Bi 0.500 0.500 0.500
4 Au 0.750 0.750 0.750

Calculated values
Calculated total energy   -4.387 eV per atom
Formation energy   -0.38 eV/atom
Density of states at the Fermi level   1.7 states/eV per cell
Size of the total moment   0.000 Bohr magnetons per cell

No. 14
DFT (PBE) results for a relaxed structure of PuCuBiAu.

Lattice parameters (Å, degrees): 5.023 5.023 5.023 60.00 60.00 60.00
Each line ends with the local moment (μB).
Fractional coordinates of all 4 atoms:
1 Bi 0.500 0.500 0.500  -0.05
2 Pu 0.000 0.000 0.000  5.27
3 Cu 0.250 0.250 0.250  -0.01
4 Au 0.750 0.750 0.750  -0.03

Calculated values
Calculated total energy   -6.535 eV per atom
Formation energy   -0.14 eV/atom
Density of states at the Fermi level   15.9 states/eV per cell
Size of the total moment   5.353 Bohr magnetons per cell

No. 15
DFT (PBE) results for a relaxed structure of SmCuBiAu.

Lattice parameters (Å, degrees): 5.054 5.054 5.054 60.00 60.00 60.00
Fractional coordinates of all 4 atoms:
1 Au 0.250 0.250 0.250
2 Bi 0.500 0.500 0.500
3 Sm 0.000 0.000 0.000
4 Cu 0.750 0.750 0.750

Calculated values
Calculated total energy   -4.364 eV per atom
Formation energy   -0.37 eV/atom
Density of states at the Fermi level   1.8 states/eV per cell
Size of the total moment   0.000 Bohr magnetons per cell

No. 16
DFT (PBE) results for a relaxed structure of CuBi2TeAu.

Lattice parameters (Å, degrees): 5.294 5.011 5.294 90.00 90.00 90.00
Fractional coordinates of all 5 atoms:
1 Cu 0.000 0.000 0.000
2 Au 0.500 0.500 0.500
3 Te 0.000 0.500 0.000
4 Bi 0.500 0.000 0.000
5 Bi 0.000 0.000 0.500

Calculated values
Formation energy without anion corrections   0.5024 eV per atom
Calculated total energy   -3.153 eV per atom
Density of states at the Fermi level   4.7 states/eV per cell
Size of the total moment   0.000 Bohr magnetons per cell

No. 17
DFT (PBE) results for a relaxed structure of CuBiTe2Au.

Lattice parameters (Å, degrees): 5.489 5.497 5.489 90.00 90.00 90.00
Fractional coordinates of all 5 atoms:
1 Au 0.000 0.000 0.000
2 Te 0.000 0.000 0.500
3 Te 0.500 0.000 0.000
4 Cu 0.500 0.500 0.500
5 Bi 0.000 0.500 0.000

Calculated values
Formation energy without anion corrections   0.8243 eV per atom
Calculated total energy   -2.683 eV per atom
Density of states at the Fermi level   5.3 states/eV per cell
Size of the total moment   0.000 Bohr magnetons per cell

No. 18
DFT (PBE) results for a relaxed structure of TmCuBiAu.

Lattice parameters (Å, degrees): 4.976 4.976 4.976 60.00 60.00 60.00
Fractional coordinates of all 4 atoms:
1 Au 0.750 0.750 0.750
2 Bi 0.500 0.500 0.500
3 Cu 0.250 0.250 0.250
4 Tm 0.000 0.000 0.000

Calculated values
Calculated total energy   -4.252 eV per atom
Formation energy   -0.32 eV/atom
Density of states at the Fermi level   1.3 states/eV per cell
Size of the total moment   0.000 Bohr magnetons per cell

No. 19
DFT (PBE) results for a relaxed structure of Dy8Bi2Au3.

Lattice parameters (Å, degrees): 6.447 7.777 8.801 116.22 95.33 90.00
Fractional coordinates of all 13 atoms:
1 Dy 0.637 0.166 0.783
2 Dy 0.144 0.422 0.845
3 Dy 0.363 0.834 0.217
4 Dy 0.637 0.617 0.783
5 Dy 0.145 0.846 0.692
6 Dy 0.856 0.578 0.155
7 Dy 0.855 0.154 0.308
8 Dy 0.363 0.383 0.217
9 Au 0.000 0.819 0.000
10 Au 0.500 0.000 0.000
11 Au 0.000 0.181 0.000
12 Bi 0.346 0.254 0.508
13 Bi 0.654 0.746 0.492

Calculated values
Calculated total energy   -4.648 eV per atom
Formation energy   -0.46 eV/atom
Density of states at the Fermi level   13.7 states/eV per cell
Size of the total moment   0.001 Bohr magnetons per cell

No. 20
DFT (PBE) results for a relaxed structure of Dy8BiAu2.

Lattice parameters (Å, degrees): 5.053 7.189 9.404 103.82 105.59 90.00
Fractional coordinates of all 11 atoms:
1 Dy 0.202 0.331 0.405
2 Dy 0.798 0.669 0.595
3 Dy 0.965 0.249 0.930
4 Dy 0.327 0.034 0.654
5 Dy 0.408 0.541 0.817
6 Dy 0.592 0.459 0.183
7 Dy 0.673 0.966 0.346
8 Dy 0.035 0.751 0.070
9 Au 0.807 0.277 0.615
10 Au 0.193 0.723 0.385
11 Bi 0.500 0.000 0.000

Calculated values
Calculated total energy   -4.727 eV per atom
Formation energy   -0.43 eV/atom
Density of states at the Fermi level   9.5 states/eV per cell
Size of the total moment   0.000 Bohr magnetons per cell